1.
Below is a relaxed structure of ScTlCd, with properties calculated at the GGA-PBE level.

Unit cell a=4.8635 b=4.8635 c=4.8635 alpha=60.00 beta=60.00 gamma=60.00
Fractional positions:
Tl  0.2500  0.2500  0.2500
Sc  0.5000  0.5000  0.5000
Cd  0.7500  0.7500  0.7500

Values from the calculation:
The space group is F-43m (216). The value obtained for the total energy is -9.3 eV per cell.

***

2.
Below is a relaxed structure of Ac2NdNi, with properties calculated at the GGA-PBE level.

Unit cell a=3.7504 b=3.7504 c=9.2928 alpha=90.00 beta=90.00 gamma=90.00
Fractional positions:
Ac  0.0000  0.0000  0.8095
Ac  0.0000  0.0000  0.1905
Nd  0.5000  0.5000  0.5000
Ni  0.5000  0.5000  0.0000

Values from the calculation:
The space group is P4/mmm (123). As for the offset from the most stable computed form: 109 meV per atom.

***

3.
Below is a relaxed structure of AcBeAl, with properties calculated at the GGA-PBE level.

Unit cell a=4.7138 b=4.2450 c=4.2450 alpha=120.00 beta=90.00 gamma=90.00
Fractional positions:
Be  0.1664  0.6667  0.3333
Al  0.1667  0.0000  0.0000
Ac  0.6668  0.3333  0.6667

Values from the calculation:
The space group is P-6m2 (187). As for the offset from the most stable computed form: 0 meV per atom.

***

Asked for M_tot across the records above, the calculation gives 0.00, 0.00, 0.00 μB per formula unit in order.
Asked for DOS(E_F) across the records above, the calculation gives 1.01, 1.73, 1.05 states/eV/atom in order.